(1)
Below is an optimized crystal structure of Ti3AlBr, with properties calculated at the PBE level.

abc: 4.6398 4.6398 4.6398
angles: 90.00 90.00 90.00
Space group Pm-3m (No. 221)
Symmetry-distinct sites (fractional):
Ti1 0.0000 0.0000 0.5000 (multiplicity 3)
Al1 0.5000 0.5000 0.5000 (multiplicity 1)
Br1 0.0000 0.0000 0.0000 (multiplicity 1)

Computed properties:
**Offset from the most stable computed form**: 0 meV/atom
**Raw total energy**: -5.381 eV per atom

(2)
Below is an optimized crystal structure of LiLaPrAl, with properties calculated at the PBE level.

abc: 7.6072 7.6072 7.6072
angles: 90.00 90.00 90.00
Space group F-43m (No. 216)
Symmetry-distinct sites (fractional):
Li1 0.0000 0.0000 0.0000 (multiplicity 4)
La1 0.2500 0.2500 0.2500 (multiplicity 4)
Pr1 0.2500 0.2500 0.7500 (multiplicity 4)
Al1 0.0000 0.0000 0.5000 (multiplicity 4)

Computed properties:
**Raw total energy**: -4.028 eV per atom